Density functional theory data (PBE-GGA) for Ta2P after structural relaxation.

Output
- energy (eV/cell) = -375.98

abc: 11.617 14.518 3.415
angles: 90.00 90.00 90.00
Space group Pnnm (No. 58)
Unique sites:
Ta 0.030 0.109 0.000 x4
Ta 0.078 0.746 0.500 x4
Ta 0.087 0.580 0.000 x4
Ta 0.122 0.422 0.500 x4
Ta 0.152 0.977 0.500 x4
Ta 0.197 0.205 0.500 x4
P 0.078 0.295 0.000 x4
P 0.184 0.848 0.000 x4
P 0.244 0.583 0.500 x4